Below is a PBEsol-optimized structure of CsCa3, with properties calculated at the SCAN level.

The calculation puts the formation energy at 0.28 eV/atom. For the density of states at the Fermi level, the calculation gives 1.19 states/eV per atom. The raw total energy is -65.7 eV/f.u.

Unit cell a=9.1728 b=9.1728 c=9.1728 alpha=90.00 beta=90.00 gamma=90.00
Last column: nearest neighbours and their distance in Å.
Space group Fm-3m (No. 225)
Asymmetric unit:
Cs: 0.0000 0.0000 0.0000 [4 per cell]  8 Ca 3.97
Ca: 0.0000 0.0000 0.5000 [4 per cell]  8 Ca 3.97
Ca: 0.2500 0.2500 0.2500 [8 per cell]  4 Ca 3.97, 4 Cs 3.97

Below is a PBEsol-optimized structure of CsCa3Cu, with properties calculated at the SCAN level.

The calculation puts the formation energy at 0.14 eV/atom. For the density of states at the Fermi level, the calculation gives 0.75 states/eV per atom. The raw total energy is -81.3 eV/f.u.

Unit cell a=5.8352 b=5.8352 c=5.8352 alpha=90.00 beta=90.00 gamma=90.00
Last column: nearest neighbours and their distance in Å.
Space group Pm-3m (No. 221)
Asymmetric unit:
Cs: 0.0000 0.0000 0.0000 [1 per cell]  12 Ca 4.13
Ca: 0.0000 0.5000 0.5000 [3 per cell]  2 Cu 2.92
Cu: 0.5000 0.5000 0.5000 [1 per cell]  6 Ca 2.92

Below is a PBEsol-optimized structure of CsCa2F2, with properties calculated at the SCAN level.

For the density of states at the Fermi level, the calculation gives 0.53 states/eV per atom. The value obtained for the raw formation energy is -2348 meV per atom. The raw total energy is -76.0 eV/f.u.

Unit cell a=3.9430 b=3.9430 c=20.4521 alpha=90.00 beta=90.00 gamma=90.00
Last column: nearest neighbours and their distance in Å.
Space group I4/mmm (No. 139)
Asymmetric unit:
Cs: 0.0000 0.0000 0.0000 [2 per cell]  4 Cs 3.94
Ca: 0.0000 0.0000 0.3118 [4 per cell]  4 F 2.34
F: 0.0000 0.5000 0.2500 [4 per cell]  4 Ca 2.34

Below is a PBEsol-optimized structure of CsCa2F, with properties calculated at the SCAN level.

For the density of states at the Fermi level, the calculation gives 0.46 states/eV per atom. The value obtained for the raw formation energy is -107 meV per atom. The raw total energy is -61.1 eV/f.u.

Unit cell a=8.7076 b=8.7076 c=8.7076 alpha=90.00 beta=90.00 gamma=90.00
Last column: nearest neighbours and their distance in Å.
Space group Fm-3m (No. 225)
Asymmetric unit:
Cs: 0.0000 0.0000 0.0000 [4 per cell]  8 Ca 3.77
Ca: 0.2500 0.2500 0.2500 [8 per cell]  4 F 3.77, 4 Cs 3.77
F: 0.0000 0.0000 0.5000 [4 per cell]  8 Ca 3.77

Below is a PBEsol-optimized structure of CsCaF2, with properties calculated at the SCAN level.

For the density of states at the Fermi level, the calculation gives 0.16 states/eV per atom. The value obtained for the raw formation energy is -2771 meV per atom. The raw total energy is -65.6 eV/f.u.

Unit cell a=4.3022 b=4.3022 c=22.3511 alpha=90.00 beta=90.00 gamma=120.00
Last column: nearest neighbours and their distance in Å.
Space group R-3m (No. 166, hexagonal axes)
Asymmetric unit:
Cs: 0.0000 0.0000 0.0000 [3 per cell]  6 F 2.96
Ca: 0.0000 0.0000 0.5000 [3 per cell]  2 F 2.11
F: 0.0000 0.0000 0.4058 [6 per cell]  1 Ca 2.11

Below is a PBEsol-optimized structure of Cs2CaF4, with properties calculated at the SCAN level.

For the density of states at the Fermi level, the calculation gives 0.00 states/eV per atom. The value obtained for the raw formation energy is -3464 meV per atom. The raw total energy is -123.7 eV/f.u.

Unit cell a=4.4626 b=4.4626 c=14.7043 alpha=90.00 beta=90.00 gamma=90.00
Last column: nearest neighbours and their distance in Å.
Space group I4/mmm (No. 139)
Asymmetric unit:
Cs: 0.0000 0.0000 0.1491 [4 per cell]  9 F 2.91-3.16
Ca: 0.0000 0.0000 0.5000 [2 per cell]  6 F 2.23-2.25
F: 0.0000 0.0000 0.3470 [4 per cell]  1 Ca 2.25
F: 0.0000 0.5000 0.0000 [4 per cell]  2 Ca 2.23

Below is a PBEsol-optimized structure of CsCaF3, with properties calculated at the SCAN level.

For the density of states at the Fermi level, the calculation gives 0.00 states/eV per atom. The value obtained for the raw formation energy is -3704 meV per atom. The raw total energy is -76.6 eV/f.u.

Unit cell a=4.4937 b=4.4937 c=4.4937 alpha=90.00 beta=90.00 gamma=90.00
Last column: nearest neighbours and their distance in Å.
Space group Pm-3m (No. 221)
Asymmetric unit:
Cs: 0.0000 0.0000 0.0000 [1 per cell]  12 F 3.18
Ca: 0.5000 0.5000 0.5000 [1 per cell]  6 F 2.25
F: 0.0000 0.5000 0.5000 [3 per cell]  2 Ca 2.25

Below is a PBEsol-optimized structure of Cs2NaCaF6, with properties calculated at the SCAN level.

For the density of states at the Fermi level, the calculation gives 1.53 states/eV per atom. The value obtained for the raw formation energy is -2969 meV per atom. The raw total energy is -140.4 eV/f.u.

Unit cell a=8.9932 b=8.9932 c=8.9932 alpha=90.00 beta=90.00 gamma=90.00
Last column: nearest neighbours and their distance in Å.
Space group Fm-3m (No. 225)
Asymmetric unit:
Cs: 0.2500 0.2500 0.2500 [8 per cell]  12 F 3.18
Na: 0.0000 0.0000 0.0000 [4 per cell]  6 F 2.27
Ca: 0.0000 0.0000 0.5000 [4 per cell]  6 F 2.22
F: 0.0000 0.0000 0.2528 [24 per cell]  1 Ca 2.22, 1 Na 2.27

Below is a PBEsol-optimized structure of CsCaFe2, with properties calculated at the SCAN level.

The calculation puts the formation energy at 1.37 eV/atom. For the density of states at the Fermi level, the calculation gives 1.05 states/eV per atom. The raw total energy is -78.2 eV/f.u.

Unit cell a=7.3440 b=7.3440 c=7.3440 alpha=90.00 beta=90.00 gamma=90.00
Last column: nearest neighbours and their distance in Å.
Space group Fm-3m (No. 225)
Asymmetric unit:
Cs: 0.0000 0.0000 0.0000 [4 per cell]  8 Fe 3.18
Ca: 0.0000 0.0000 0.5000 [4 per cell]  8 Fe 3.18
Fe: 0.2500 0.2500 0.2500 [8 per cell]  4 Ca 3.18, 4 Cs 3.18

Below is a PBEsol-optimized structure of Cs2CaH2, with properties calculated at the SCAN level.

The raw total energy is -91.1 eV/f.u.

Unit cell a=5.4298 b=5.4298 c=12.8973 alpha=90.00 beta=90.00 gamma=90.00
Last column: nearest neighbours and their distance in Å.
Space group I4/mmm (No. 139)
Asymmetric unit:
Cs: 0.0000 0.0000 0.1659 [4 per cell]  4 H 2.92
Ca: 0.0000 0.0000 0.5000 [2 per cell]  8 H 4.22, 10 Cs 4.31-4.40
H: 0.0000 0.5000 0.2500 [4 per cell]  4 Cs 2.92

Below is a PBEsol-optimized structure of CsNa2CaH, with properties calculated at the SCAN level.

For the density of states at the Fermi level, the calculation gives 0.70 states/eV per atom. The raw total energy is -56.8 eV/f.u.

Unit cell a=6.9091 b=6.9091 c=4.8471 alpha=90.00 beta=90.00 gamma=90.00
Last column: nearest neighbours and their distance in Å.
Space group P4/mmm (No. 123)
Asymmetric unit:
Cs: 0.0000 0.0000 0.0000 [1 per cell]  2 H 2.42
Na: 0.0000 0.5000 0.0000 [2 per cell]  2 Cs 3.45
Ca: 0.5000 0.5000 0.5000 [1 per cell]  8 Na 4.22
H: 0.0000 0.0000 0.5000 [1 per cell]  2 Cs 2.42

Below is a PBEsol-optimized structure of CsCaHf3, with properties calculated at the SCAN level.

The calculation puts the formation energy at 2.05 eV/atom. For the density of states at the Fermi level, the calculation gives 1.13 states/eV per atom. The raw total energy is -225.3 eV/f.u.

Unit cell a=5.3614 b=5.3614 c=5.3614 alpha=90.00 beta=90.00 gamma=90.00
Last column: nearest neighbours and their distance in Å.
Space group Pm-3m (No. 221)
Asymmetric unit:
Cs: 0.0000 0.0000 0.0000 [1 per cell]  12 Hf 3.79
Ca: 0.5000 0.5000 0.5000 [1 per cell]  6 Hf 2.68
Hf: 0.0000 0.5000 0.5000 [3 per cell]  2 Ca 2.68

Below is a PBEsol-optimized structure of CsCaHg2, with properties calculated at the SCAN level.

The calculation puts the formation energy at -0.22 eV/atom. For the density of states at the Fermi level, the calculation gives 0.85 states/eV per atom. The raw total energy is -184.7 eV/f.u.

Unit cell a=8.0914 b=8.0914 c=8.0914 alpha=90.00 beta=90.00 gamma=90.00
Last column: nearest neighbours and their distance in Å.
Space group Fm-3m (No. 225)
Asymmetric unit:
Cs: 0.0000 0.0000 0.0000 [4 per cell]  8 Hg 3.50
Ca: 0.0000 0.0000 0.5000 [4 per cell]  8 Hg 3.50
Hg: 0.2500 0.2500 0.2500 [8 per cell]  4 Ca 3.50, 4 Cs 3.50

Below is a PBEsol-optimized structure of CsCa3Hg, with properties calculated at the SCAN level.

The calculation puts the formation energy at 1.07 eV/atom. For the density of states at the Fermi level, the calculation gives 0.71 states/eV per atom. The raw total energy is -129.6 eV/f.u.

Unit cell a=5.6533 b=5.6533 c=5.6533 alpha=90.00 beta=90.00 gamma=90.00
Last column: nearest neighbours and their distance in Å.
Space group Pm-3m (No. 221)
Asymmetric unit:
Cs: 0.0000 0.0000 0.0000 [1 per cell]  6 Ca 2.83
Ca: 0.0000 0.0000 0.5000 [3 per cell]  2 Cs 2.83
Hg: 0.5000 0.5000 0.5000 [1 per cell]  12 Ca 4.00